! SCAN MoAsRu3, PBEsol geometry; values from VASP
! Total DFT energy (no corrections)   -30.157 eV/atom
! M_tot   0.02 Bohr magnetons per cell
&SYSTEM
  ibrav = 0, nat = 5, ntyp = 3
/
ATOMIC_SPECIES
Mo 95.94 Mo.upf
As 74.92 As.upf
Ru 101.07 Ru.upf
CELL_PARAMETERS angstrom
4.562 0.000 0.000
0.000 4.562 0.000
0.000 0.000 4.562
ATOMIC_POSITIONS crystal
Mo 0.000 0.000 0.000
As 0.500 0.500 0.500
Ru 0.000 0.000 0.500
Ru 0.000 0.500 0.000
Ru 0.500 0.000 0.000

! SCAN Mo2AsRu, PBEsol geometry; values from VASP
! Total DFT energy (no corrections)   -31.217 eV/atom
! M_tot   0.00 Bohr magnetons per cell
&SYSTEM
  ibrav = 0, nat = 8, ntyp = 3
/
ATOMIC_SPECIES
Mo 95.94 Mo.upf
As 74.92 As.upf
Ru 101.07 Ru.upf
CELL_PARAMETERS angstrom
3.070 0.000 0.000
0.000 4.309 0.000
0.000 0.000 8.714
ATOMIC_POSITIONS crystal
Mo 0.000 0.000 0.236
Mo 0.000 0.000 0.764
Mo 0.500 0.500 0.264
Mo 0.500 0.500 0.736
As 0.000 0.500 0.500
As 0.500 0.000 0.000
Ru 0.000 0.500 0.000
Ru 0.500 0.000 0.500

! SCAN MoAsRu2, PBEsol geometry; values from VASP
! Total DFT energy (no corrections)   -31.043 eV/atom
! M_tot   0.00 Bohr magnetons per cell
&SYSTEM
  ibrav = 0, nat = 4, ntyp = 3
/
ATOMIC_SPECIES
Mo 95.94 Mo.upf
As 74.92 As.upf
Ru 101.07 Ru.upf
CELL_PARAMETERS angstrom
2.891 0.000 0.000
0.000 4.371 0.000
0.000 0.000 4.469
ATOMIC_POSITIONS crystal
Mo 0.000 0.000 0.000
As 0.500 0.000 0.500
Ru 0.000 0.500 0.500
Ru 0.500 0.500 0.000

! SCAN Mo2AsRu, PBEsol geometry; values from VASP
! Total DFT energy (no corrections)   -31.126 eV/atom
! M_tot   0.00 Bohr magnetons per cell
&SYSTEM
  ibrav = 0, nat = 4, ntyp = 3
/
ATOMIC_SPECIES
Mo 95.94 Mo.upf
As 74.92 As.upf
Ru 101.07 Ru.upf
CELL_PARAMETERS angstrom
3.096 0.000 0.000
0.000 4.281 0.000
0.000 0.000 4.382
ATOMIC_POSITIONS crystal
Mo 0.000 0.000 0.000
Mo 0.500 0.500 0.000
As 0.000 0.500 0.500
Ru 0.500 0.000 0.500

! SCAN MoAsRu, PBEsol geometry; values from VASP
! Total DFT energy (no corrections)   -29.921 eV/atom
! M_tot   0.00 Bohr magnetons per cell
&SYSTEM
  ibrav = 0, nat = 6, ntyp = 3
/
ATOMIC_SPECIES
Mo 95.94 Mo.upf
As 74.92 As.upf
Ru 101.07 Ru.upf
CELL_PARAMETERS angstrom
2.857 0.000 0.000
0.000 3.975 0.000
0.000 0.000 7.657
ATOMIC_POSITIONS crystal
Mo 0.000 0.000 0.000
Mo 0.500 0.500 0.500
As 0.000 0.000 0.329
As 0.500 0.500 0.829
Ru 0.000 0.000 0.657
Ru 0.500 0.500 0.157

! SCAN MoAsRu2, PBEsol geometry; values from VASP
! Total DFT energy (no corrections)   -31.270 eV/atom
! M_tot   0.00 Bohr magnetons per cell
&SYSTEM
  ibrav = 0, nat = 4, ntyp = 3
/
ATOMIC_SPECIES
Mo 95.94 Mo.upf
As 74.92 As.upf
Ru 101.07 Ru.upf
CELL_PARAMETERS angstrom
2.873 0.000 0.000
0.000 2.873 0.000
0.000 0.000 6.769
ATOMIC_POSITIONS crystal
Mo 0.000 0.000 0.000
As 0.000 0.000 0.500
Ru 0.500 0.500 0.273
Ru 0.500 0.500 0.727

! SCAN MoAsRu2, PBEsol geometry; values from VASP
! Total DFT energy (no corrections)   -31.096 eV/atom
! M_tot   0.00 Bohr magnetons per cell
&SYSTEM
  ibrav = 0, nat = 8, ntyp = 3
/
ATOMIC_SPECIES
Mo 95.94 Mo.upf
As 74.92 As.upf
Ru 101.07 Ru.upf
CELL_PARAMETERS angstrom
8.907 0.000 0.000
0.000 2.801 0.000
-0.411 0.000 4.554
ATOMIC_POSITIONS crystal
Mo 0.000 0.000 0.000
Mo 0.500 0.500 0.000
As 0.000 0.500 0.500
As 0.500 0.000 0.500
Ru 0.239 0.500 0.244
Ru 0.261 0.000 0.756
Ru 0.739 0.000 0.244
Ru 0.761 0.500 0.756

! SCAN MoAsRu, PBEsol geometry; values from VASP
! Total DFT energy (no corrections)   -30.133 eV/atom
! M_tot   0.00 Bohr magnetons per cell
&SYSTEM
  ibrav = 0, nat = 12, ntyp = 3
/
ATOMIC_SPECIES
Mo 95.94 Mo.upf
As 74.92 As.upf
Ru 101.07 Ru.upf
CELL_PARAMETERS angstrom
5.820 0.000 0.000
0.000 5.820 0.000
0.000 0.000 5.820
ATOMIC_POSITIONS crystal
Mo 0.000 0.000 0.000
Mo 0.000 0.500 0.500
Mo 0.500 0.000 0.500
Mo 0.500 0.500 0.000
As 0.000 0.000 0.500
As 0.000 0.500 0.000
As 0.500 0.000 0.000
As 0.500 0.500 0.500
Ru 0.250 0.250 0.250
Ru 0.250 0.750 0.750
Ru 0.750 0.250 0.750
Ru 0.750 0.750 0.250